KBr2Cl: single point on PBEsol structure, meta-GGA SCAN.

Cell and atoms, written as CIF:
```
data_KBr2Cl
_chemical_formula_sum 'K2 Br4 Cl2'
_space_group_name_H-M_alt 'I 4/m m m'
_space_group_IT_number 139
_space_group_name_Hall '-I 4 2'
_cell_length_a 4.0965
_cell_length_b 4.0965
_cell_length_c 14.2334
_cell_angle_alpha 90.00
_cell_angle_beta 90.00
_cell_angle_gamma 90.00
loop_
_atom_site_label
_atom_site_type_symbol
_atom_site_fract_x
_atom_site_fract_y
_atom_site_fract_z
K1 K 0.0000 0.0000 0.0000
Br1 Br 0.0000 0.5000 0.2500
Cl1 Cl 0.0000 0.0000 0.5000
```

Results
* energy relative to the elements, uncorrected: -0.85 eV per atom
* energy above the most stable polymorph in this dataset: 203.8 meV per atom
* energy: -58.640 eV per formula unit